No. 1
This record from the Alexandria database describes a geometry-optimized Ti3MoIr structure. The functional is PBE.

Crystal system: orthorhombic
Space-group type: No. 63
ΔE_f: -0.519 eV per atom
Excess energy over the best structure of this formula in the dataset: 0.0 meV/atom
Electronic total energy: -9.19 eV per atom

Geometry as POSCAR:
```
Ti3MoIr
1.0
4.229 0.000 -1.347
0.000 4.450 0.000
0.283 0.000 8.202
Ti Mo Ir
6 2 2
direct
0.455 0.844 0.192 Ti
0.763 0.344 0.808 Ti
0.570 0.344 0.423 Ti
0.956 0.344 0.194 Ti
0.070 0.844 0.421 Ti
0.262 0.844 0.807 Ti
0.162 0.344 0.605 Mo
0.864 0.844 0.009 Mo
0.663 0.844 0.606 Ir
0.363 0.344 0.008 Ir
```

No. 2
This record from the Alexandria database describes a geometry-optimized Ti4Mo3Ir structure. The functional is PBE.

Crystal system: orthorhombic
Space-group type: No. 47
ΔE_f: -0.337 eV per atom
Electronic total energy: -9.45 eV per atom

Geometry as POSCAR:
```
Ti4Mo3Ir
1.0
-2.501 1.799 0.480
-1.743 -1.387 -3.878
-4.040 -6.745 4.229
Ir Ti Mo
1 4 3
direct
0.500 0.500 0.000 Ir
0.000 0.500 0.247 Ti
0.000 0.000 0.000 Ti
0.000 0.000 0.500 Ti
0.000 0.500 0.753 Ti
0.500 0.000 0.750 Mo
0.500 0.000 0.250 Mo
0.500 0.500 0.500 Mo
```

No. 3
This record from the Alexandria database describes a geometry-optimized Ti2MoIr2 structure. The functional is PBE.

Crystal system: tetragonal
Space-group type: No. 127
ΔE_f: -0.427 eV per atom
Excess energy over the best structure of this formula in the dataset: 24.5 meV/atom
Electronic total energy: -9.30 eV per atom

Geometry as POSCAR:
```
Ti2MoIr2
1.0
7.408 0.000 0.000
0.000 7.408 0.000
0.000 0.000 2.883
Ir Ti Mo
4 4 2
direct
0.365 0.865 0.000 Ir
0.865 0.635 0.000 Ir
0.635 0.135 0.000 Ir
0.135 0.365 0.000 Ir
0.836 0.336 0.500 Ti
0.664 0.836 0.500 Ti
0.164 0.664 0.500 Ti
0.336 0.164 0.500 Ti
0.000 0.000 0.000 Mo
0.500 0.500 0.000 Mo
```

No. 4
This record from the Alexandria database describes a geometry-optimized TiMo2Ir2 structure. The functional is PBE.

Crystal system: tetragonal
Space-group type: No. 127
ΔE_f: -0.124 eV per atom
Excess energy over the best structure of this formula in the dataset: 46.9 meV/atom
Electronic total energy: -9.58 eV per atom

Geometry as POSCAR:
```
TiMo2Ir2
1.0
7.670 0.000 0.000
0.000 7.670 0.000
0.000 0.000 2.761
Ti Ir Mo
2 4 4
direct
0.500 0.500 0.000 Ti
0.000 0.000 0.000 Ti
0.327 0.173 0.500 Ir
0.673 0.827 0.500 Ir
0.827 0.327 0.500 Ir
0.173 0.673 0.500 Ir
0.122 0.378 0.000 Mo
0.378 0.878 0.000 Mo
0.878 0.622 0.000 Mo
0.622 0.122 0.000 Mo
```

No. 5
This record from the Alexandria database describes a geometry-optimized Ti2MoIr2 structure. The functional is PBE.

Crystal system: tetragonal
Space-group type: No. 127
ΔE_f: -0.451 eV per atom
Excess energy over the best structure of this formula in the dataset: 0.0 meV/atom
Electronic total energy: -9.32 eV per atom

Geometry as POSCAR:
```
Ti2MoIr2
1.0
7.396 0.000 0.000
0.000 7.396 0.000
0.000 0.000 2.861
Mo Ir Ti
2 4 4
direct
0.500 0.500 0.000 Mo
0.000 0.000 0.000 Mo
0.150 0.650 0.500 Ir
0.350 0.150 0.500 Ir
0.850 0.350 0.500 Ir
0.650 0.850 0.500 Ir
0.152 0.348 0.000 Ti
0.348 0.848 0.000 Ti
0.848 0.652 0.000 Ti
0.652 0.152 0.000 Ti
```

No. 6
This record from the Alexandria database describes a geometry-optimized TiMoIr3 structure. The functional is PBE.

Crystal system: cubic
Space-group type: No. 221
ΔE_f: 1.339 eV per atom
Excess energy over the best structure of this formula in the dataset: 0.0 meV/atom
Electronic total energy: -7.72 eV per atom

Geometry as POSCAR:
```
TiMoIr3
1.0
-1.011 -1.399 -4.162
-3.987 -1.496 1.472
-1.839 4.013 -0.902
Ir Mo Ti
3 1 1
direct
0.000 0.500 0.000 Ir
0.500 0.000 0.000 Ir
0.000 0.000 0.500 Ir
0.500 0.500 0.500 Mo
0.000 0.000 0.000 Ti
```

The calculation returns the following D(E_F) values, one per record and in order: 1.259; 1.313; 1.231; 1.054; 0.542; 1.555 states/eV per atom.